(1)
! MnCuNiPd | Alexandria | PBE | relaxed; values from VASP
! SG: F-43m (216)
! DFT formation energy in eV per atom: -0.0658
&SYSTEM
  ibrav = 0, nat = 4, ntyp = 4
/
ATOMIC_SPECIES
Cu 63.55 Cu.upf
Mn 54.94 Mn.upf
Ni 58.69 Ni.upf
Pd 106.42 Pd.upf
CELL_PARAMETERS angstrom
-3.8599 1.0237 -1.3231
-3.2924 -0.4326 2.5826
-1.9199 3.4075 1.5494
ATOMIC_POSITIONS crystal
Cu 0.7500 0.7500 0.7500
Mn 0.2500 0.2500 0.2500
Ni 0.5000 0.5000 0.5000
Pd 0.0000 0.0000 0.0000

(2)
! Pm2MnCu3Ni12 | Alexandria | PBE | relaxed; values from VASP
! SG: R-3m (166)
! DFT formation energy in eV per atom: 0.2349
&SYSTEM
  ibrav = 0, nat = 18, ntyp = 4
/
ATOMIC_SPECIES
Ni 58.69 Ni.upf
Cu 63.55 Cu.upf
Mn 54.94 Mn.upf
Pm 145.00 Pm.upf
CELL_PARAMETERS angstrom
8.9432 1.7477 1.2396
5.9364 6.9134 1.2396
5.9364 3.4555 6.1149
ATOMIC_POSITIONS crystal
Ni 0.0684 0.0684 0.6501
Cu 0.0000 0.5000 0.0000
Ni 0.3499 0.9316 0.9316
Mn 0.0000 0.0000 0.0000
Cu 0.0000 0.0000 0.5000
Ni 0.5788 0.5788 0.1883
Ni 0.8117 0.4212 0.4212
Ni 0.4212 0.8117 0.4212
Pm 0.6533 0.6533 0.6533
Ni 0.1883 0.5788 0.5788
Pm 0.3467 0.3467 0.3467
Cu 0.5000 0.0000 0.0000
Ni 0.9316 0.9316 0.3499
Ni 0.4212 0.4212 0.8117
Ni 0.9316 0.3499 0.9316
Ni 0.0684 0.6501 0.0684
Ni 0.5788 0.1883 0.5788
Ni 0.6501 0.0684 0.0684

(3)
! Pr2MnCu3Ni12 | Alexandria | PBE | relaxed; values from VASP
! SG: R-3m (166)
! DFT formation energy in eV per atom: 0.2437
&SYSTEM
  ibrav = 0, nat = 18, ntyp = 4
/
ATOMIC_SPECIES
Pr 140.91 Pr.upf
Ni 58.69 Ni.upf
Cu 63.55 Cu.upf
Mn 54.94 Mn.upf
CELL_PARAMETERS angstrom
-2.9460 -4.3215 7.5895
-0.2095 -8.2938 4.0155
3.0498 -4.5620 7.4055
ATOMIC_POSITIONS crystal
Pr 0.6542 0.6542 0.6542
Ni 0.1888 0.5791 0.5791
Cu 0.0000 0.0000 0.5000
Ni 0.9337 0.9337 0.3477
Pr 0.3458 0.3458 0.3458
Mn 0.0000 0.0000 0.0000
Ni 0.6523 0.0663 0.0663
Ni 0.8112 0.4209 0.4209
Ni 0.5791 0.1888 0.5791
Cu 0.5000 0.0000 0.0000
Cu 0.0000 0.5000 0.0000
Ni 0.0663 0.6523 0.0663
Ni 0.0663 0.0663 0.6523
Ni 0.4209 0.4209 0.8112
Ni 0.5791 0.5791 0.1888
Ni 0.3477 0.9337 0.9337
Ni 0.4209 0.8112 0.4209
Ni 0.9337 0.3477 0.9337

(4)
! Pr2MnCu12Ni3 | Alexandria | PBE | relaxed; values from VASP
! SG: R-3m (166)
! DFT formation energy in eV per atom: 0.2793
&SYSTEM
  ibrav = 0, nat = 18, ntyp = 4
/
ATOMIC_SPECIES
Ni 58.69 Ni.upf
Cu 63.55 Cu.upf
Pr 140.91 Pr.upf
Mn 54.94 Mn.upf
CELL_PARAMETERS angstrom
-6.3397 -6.2402 3.9612
-5.3679 -7.9349 -1.7458
-1.3444 -9.3056 2.5343
ATOMIC_POSITIONS crystal
Ni 0.5000 0.0000 0.0000
Cu 0.0707 0.6397 0.0707
Cu 0.9293 0.3603 0.9293
Cu 0.8081 0.4150 0.4150
Cu 0.3603 0.9293 0.9293
Cu 0.4150 0.4150 0.8081
Pr 0.6465 0.6465 0.6465
Ni 0.0000 0.5000 0.0000
Cu 0.9293 0.9293 0.3603
Cu 0.6397 0.0707 0.0707
Cu 0.0707 0.0707 0.6397
Cu 0.1919 0.5850 0.5850
Cu 0.5850 0.1919 0.5850
Ni 0.0000 0.0000 0.5000
Cu 0.4150 0.8081 0.4150
Mn 0.0000 0.0000 0.0000
Cu 0.5850 0.5850 0.1919
Pr 0.3535 0.3535 0.3535

(5)
! MnCuNiPt | Alexandria | PBE | relaxed; values from VASP
! SG: F-43m (216)
! DFT formation energy in eV per atom: -0.1485
&SYSTEM
  ibrav = 0, nat = 4, ntyp = 4
/
ATOMIC_SPECIES
Cu 63.55 Cu.upf
Mn 54.94 Mn.upf
Ni 58.69 Ni.upf
Pt 195.08 Pt.upf
CELL_PARAMETERS angstrom
-2.0673 3.1171 1.9351
-3.7314 -0.7491 1.8028
-0.3503 0.0072 4.1966
ATOMIC_POSITIONS crystal
Cu 0.5000 0.5000 0.5000
Mn 0.0000 0.0000 0.0000
Ni 0.2500 0.2500 0.2500
Pt 0.7500 0.7500 0.7500

(6)
! Mn2CuReNi | Alexandria | PBE | relaxed; values from VASP
! SG: P4/mmm (123)
! DFT formation energy in eV per atom: 1.6987
&SYSTEM
  ibrav = 0, nat = 5, ntyp = 4
/
ATOMIC_SPECIES
Mn 54.94 Mn.upf
Ni 58.69 Ni.upf
Cu 63.55 Cu.upf
Re 186.21 Re.upf
CELL_PARAMETERS angstrom
-3.9993 0.5357 -1.0890
0.2837 -3.4498 -2.7389
-1.1835 -2.5516 3.0913
ATOMIC_POSITIONS crystal
Mn 0.5000 0.0000 0.0000
Ni 0.0000 0.0000 0.0000
Cu 0.5000 0.5000 0.5000
Re 0.0000 0.5000 0.0000
Mn 0.0000 0.0000 0.5000

(7)
! MnCu2NiRu | Alexandria | PBE | relaxed; values from VASP
! SG: P4/mmm (123)
! DFT formation energy in eV per atom: 1.3673
&SYSTEM
  ibrav = 0, nat = 5, ntyp = 4
/
ATOMIC_SPECIES
Mn 54.94 Mn.upf
Cu 63.55 Cu.upf
Ni 58.69 Ni.upf
Ru 101.07 Ru.upf
CELL_PARAMETERS angstrom
-3.4905 -1.0784 2.3731
0.2656 -3.9829 -1.4194
2.5923 -1.0207 3.3491
ATOMIC_POSITIONS crystal
Mn 0.0000 0.0000 0.0000
Cu 0.0000 0.0000 0.5000
Cu 0.5000 0.0000 0.0000
Ni 0.0000 0.5000 0.0000
Ru 0.5000 0.5000 0.5000

(8)
! MnCuNiS4 | Alexandria | PBE | relaxed; values from VASP
! Energy relative to the elements, uncorrected in eV per atom: -0.433
! SG: Imma (74)
&SYSTEM
  ibrav = 0, nat = 14, ntyp = 4
/
ATOMIC_SPECIES
Cu 63.55 Cu.upf
Ni 58.69 Ni.upf
S 32.06 S.upf
Mn 54.94 Mn.upf
CELL_PARAMETERS angstrom
6.7425 0.0000 0.0000
3.3713 5.9344 0.0441
3.3713 1.8498 5.6388
ATOMIC_POSITIONS crystal
Cu 0.6264 0.6236 0.1236
Ni 0.0000 0.5000 0.5000
S 0.7613 0.7581 0.7193
S 0.2166 0.7610 0.2610
S 0.7834 0.2390 0.7390
S 0.2386 0.2390 0.7390
S 0.2387 0.2419 0.2807
Mn 0.0000 0.0000 0.5000
Cu 0.3736 0.3764 0.8764
S 0.7614 0.7610 0.2610
Ni 0.0000 0.0000 0.0000
S 0.7613 0.2193 0.2581
Mn 0.5000 0.0000 0.5000
S 0.2387 0.7807 0.7419

(9)
! MnCuNiSb | Alexandria | PBE | relaxed; values from VASP
! Energy relative to the elements, uncorrected in eV per atom: 0.065
! SG: F-43m (216)
&SYSTEM
  ibrav = 0, nat = 4, ntyp = 4
/
ATOMIC_SPECIES
Cu 63.55 Cu.upf
Sb 121.76 Sb.upf
Mn 54.94 Mn.upf
Ni 58.69 Ni.upf
CELL_PARAMETERS angstrom
-3.8031 -0.3382 -2.0592
-0.4883 -2.8973 -3.1915
-2.4925 -3.4979 0.6086
ATOMIC_POSITIONS crystal
Cu 0.2500 0.2500 0.2500
Sb 0.7500 0.7500 0.7500
Mn 0.0000 0.0000 0.0000
Ni 0.5000 0.5000 0.5000

(10)
! ScMnCuNi | Alexandria | PBE | relaxed; values from VASP
! SG: F-43m (216)
! DFT formation energy in eV per atom: -0.1640
&SYSTEM
  ibrav = 0, nat = 4, ntyp = 4
/
ATOMIC_SPECIES
Mn 54.94 Mn.upf
Ni 58.69 Ni.upf
Cu 63.55 Cu.upf
Sc 44.96 Sc.upf
CELL_PARAMETERS angstrom
4.3549 0.0000 0.0000
2.1775 3.7715 0.0000
2.1775 1.2572 3.5558
ATOMIC_POSITIONS crystal
Mn 0.5000 0.5000 0.5000
Ni 0.7500 0.7500 0.7500
Cu 0.2500 0.2500 0.2500
Sc 0.0000 0.0000 0.0000

(11)
! MnCuNiSe4 | Alexandria | PBE | relaxed; values from VASP
! Energy relative to the elements, uncorrected in eV per atom: -0.335
! SG: Imma (74)
&SYSTEM
  ibrav = 0, nat = 14, ntyp = 4
/
ATOMIC_SPECIES
Mn 54.94 Mn.upf
Se 78.96 Se.upf
Cu 63.55 Cu.upf
Ni 58.69 Ni.upf
CELL_PARAMETERS angstrom
-4.2754 2.2374 -5.3111
-1.1071 -4.2536 -5.7483
-6.4890 -3.0683 -0.9166
ATOMIC_POSITIONS crystal
Mn 0.5000 0.0000 0.5000
Se 0.2388 0.2436 0.2788
Se 0.7833 0.2403 0.7403
Se 0.7612 0.2212 0.2564
Se 0.7612 0.7564 0.7212
Se 0.2167 0.7597 0.2597
Se 0.2361 0.2403 0.7403
Cu 0.6246 0.6254 0.1254
Se 0.7639 0.7597 0.2597
Ni 0.0000 0.5000 0.5000
Se 0.2388 0.7788 0.7436
Ni 0.0000 0.0000 0.0000
Mn 0.0000 0.0000 0.5000
Cu 0.3754 0.3746 0.8746

(12)
! MnCuSiNi | Alexandria | PBE | relaxed; values from VASP
! Energy relative to the elements, uncorrected in eV per atom: -0.188
! SG: F-43m (216)
! Energy above the most stable polymorph in this dataset in meV per atom: 0
&SYSTEM
  ibrav = 0, nat = 4, ntyp = 4
/
ATOMIC_SPECIES
Mn 54.94 Mn.upf
Si 28.09 Si.upf
Ni 58.69 Ni.upf
Cu 63.55 Cu.upf
CELL_PARAMETERS angstrom
-0.7517 -0.6086 -3.9329
1.4682 -3.2859 -1.8576
-2.5064 -2.9674 -1.1472
ATOMIC_POSITIONS crystal
Mn 0.0000 0.0000 0.0000
Si 0.7500 0.7500 0.7500
Ni 0.5000 0.5000 0.5000
Cu 0.2500 0.2500 0.2500

| no. | mass density (Mg/m³) |
| --- | --- |
| 1 | 8.945 |
| 2 | 7.807 |
| 3 | 7.673 |
| 4 | 7.391 |
| 5 | 11.706 |
| 6 | 9.009 |
| 7 | 7.059 |
| 8 | 4.507 |
| 9 | 8.599 |
| 10 | 6.316 |
| 11 | 6.099 |
| 12 | 7.256 |